Material: Ba2LaNiSe
Method: DFT, PBE
State: optimized geometry

Unit cell a=6.1675 b=6.1675 c=5.6752 alpha=90.00 beta=90.00 gamma=90.00
Fractional positions:
Ni1 0.5000 0.5000 0.5000
Se1 0.0000 0.0000 0.0000
La1 0.0000 0.0000 0.5000
Ba1 0.0000 0.5000 0.0000
Ba2 0.5000 0.0000 0.0000

Its formation energy without anion corrections is -0.12 eV per atom. For the magnetic moment, the calculation gives 0.33 μB/f.u. The value obtained for the density of states at the Fermi level is 1.4149 states/eV per atom.